Entry one
SiBiPO2 after structural relaxation. Source: Alexandria, functional PBE.

Unit cell a=3.7851 b=3.7851 c=4.6933 alpha=90.00 beta=90.00 gamma=90.00
With the nearest neighbours (Å) after each atom.
Atoms (fractional coordinates):
Si: 0.0000 0.0000 0.0000  4 O 1.89
Bi: 0.5000 0.5000 0.5000  4 P 2.68
P: 0.0000 0.0000 0.5000  2 Si 2.35
O: 0.0000 0.5000 0.0000  2 Si 1.89
O: 0.5000 0.0000 0.0000  2 Si 1.89

Entry two
SiBiPO2 after structural relaxation. Source: Alexandria, functional PBE.

Unit cell a=4.1417 b=4.1417 c=5.4864 alpha=90.00 beta=90.00 gamma=90.00
With the nearest neighbours (Å) after each atom.
Atoms (fractional coordinates):
Si: 0.0000 0.0000 0.0000  4 P 2.93
Bi: 0.5000 0.5000 0.5000  4 O 2.07
P: 0.5000 0.5000 0.0000  2 Bi 2.74, 4 Si 2.93
O: 0.0000 0.5000 0.5000  2 Bi 2.07
O: 0.5000 0.0000 0.5000  2 Bi 2.07

Energetically preferred structure: entry one | next structure: +1022 meV per atom

Entry one
SnBiPO2 after structural relaxation. Source: Alexandria, functional PBE.

Unit cell a=4.1083 b=4.1083 c=5.1891 alpha=90.00 beta=90.00 gamma=90.00
With the nearest neighbours (Å) after each atom.
Atoms (fractional coordinates):
Sn: 0.0000 0.0000 0.0000  4 O 2.05
Bi: 0.5000 0.5000 0.5000  4 P 2.91
P: 0.0000 0.0000 0.5000  2 Sn 2.59, 4 Bi 2.91
O: 0.0000 0.5000 0.0000  2 Sn 2.05
O: 0.5000 0.0000 0.0000  2 Sn 2.05

Entry two
SnBiPO2 after structural relaxation. Source: Alexandria, functional PBE.

Unit cell a=4.2575 b=4.2575 c=5.3980 alpha=90.00 beta=90.00 gamma=90.00
With the nearest neighbours (Å) after each atom.
Atoms (fractional coordinates):
Sn: 0.0000 0.0000 0.0000  4 P 3.01
Bi: 0.5000 0.5000 0.5000  4 O 2.13
P: 0.5000 0.5000 0.0000  2 Bi 2.70, 4 Sn 3.01
O: 0.0000 0.5000 0.5000  2 Bi 2.13
O: 0.5000 0.0000 0.5000  2 Bi 2.13

Energetically preferred structure: entry one | next structure: +286 meV per atom

Entry one
TaBiP2O after structural relaxation. Source: Alexandria, functional PBE.

Unit cell a=5.1195 b=5.1195 c=4.0393 alpha=90.00 beta=90.00 gamma=90.00
With the nearest neighbours (Å) after each atom.
Atoms (fractional coordinates):
Ta: 0.0000 0.0000 0.0000  8 P 3.26, 4 O 3.62
Bi: 0.5000 0.5000 0.5000  2 O 2.02
P: 0.0000 0.5000 0.5000  2 Bi 2.56
P: 0.5000 0.0000 0.5000  2 Bi 2.56
O: 0.5000 0.5000 0.0000  2 Bi 2.02

Entry two
TaBiP2O after structural relaxation. Source: Alexandria, functional PBE.

Unit cell a=5.0315 b=5.0315 c=3.8722 alpha=90.00 beta=90.00 gamma=90.00
With the nearest neighbours (Å) after each atom.
Atoms (fractional coordinates):
Ta: 0.0000 0.0000 0.0000  2 O 1.94
Bi: 0.5000 0.5000 0.5000  8 P 3.17
P: 0.0000 0.5000 0.0000  2 Ta 2.52
P: 0.5000 0.0000 0.0000  2 Ta 2.52
O: 0.0000 0.0000 0.5000  2 Ta 1.94

Energetically preferred structure: entry two | next structure: +1732 meV per atom

Entry one
TcBiP2O after structural relaxation. Source: Alexandria, functional PBE.

Unit cell a=5.2164 b=5.2164 c=4.1056 alpha=90.00 beta=90.00 gamma=90.00
With the nearest neighbours (Å) after each atom.
Atoms (fractional coordinates):
Tc: 0.0000 0.0000 0.0000  8 P 3.32, 4 O 3.69
Bi: 0.5000 0.5000 0.5000  2 O 2.05
P: 0.0000 0.5000 0.5000  2 Bi 2.61
P: 0.5000 0.0000 0.5000  2 Bi 2.61
O: 0.5000 0.5000 0.0000  2 Bi 2.05

Entry two
TcBiP2O after structural relaxation. Source: Alexandria, functional PBE.

Unit cell a=4.9096 b=4.9096 c=3.7371 alpha=90.00 beta=90.00 gamma=90.00
With the nearest neighbours (Å) after each atom.
Atoms (fractional coordinates):
Tc: 0.0000 0.0000 0.0000  2 O 1.87
Bi: 0.5000 0.5000 0.5000  8 P 3.09
P: 0.0000 0.5000 0.0000  2 Tc 2.45
P: 0.5000 0.0000 0.0000  2 Tc 2.45
O: 0.0000 0.0000 0.5000  2 Tc 1.87

Energetically preferred structure: entry two | next structure: +1345 meV per atom

Entry one
TcBiPO2 after structural relaxation. Source: Alexandria, functional PBE.

Unit cell a=4.1278 b=4.1278 c=5.5727 alpha=90.00 beta=90.00 gamma=90.00
With the nearest neighbours (Å) after each atom.
Atoms (fractional coordinates):
Tc: 0.0000 0.0000 0.0000  4 P 2.92
Bi: 0.5000 0.5000 0.5000  4 O 2.06
P: 0.5000 0.5000 0.0000  2 Bi 2.79, 4 Tc 2.92
O: 0.0000 0.5000 0.5000  2 Bi 2.06
O: 0.5000 0.0000 0.5000  2 Bi 2.06

Entry two
TcBiPO2 after structural relaxation. Source: Alexandria, functional PBE.

Unit cell a=3.9062 b=3.9062 c=5.2250 alpha=90.00 beta=90.00 gamma=90.00
With the nearest neighbours (Å) after each atom.
Atoms (fractional coordinates):
Tc: 0.0000 0.0000 0.0000  4 O 1.95
Bi: 0.5000 0.5000 0.5000  4 P 2.76
P: 0.0000 0.0000 0.5000  2 Tc 2.61, 4 Bi 2.76
O: 0.0000 0.5000 0.0000  2 Tc 1.95
O: 0.5000 0.0000 0.0000  2 Tc 1.95

Energetically preferred structure: entry two | next structure: +983 meV per atom

Entry one
BiTeP2O after structural relaxation. Source: Alexandria, functional PBE.

Unit cell a=5.1847 b=5.1847 c=3.9963 alpha=90.00 beta=90.00 gamma=90.00
With the nearest neighbours (Å) after each atom.
Atoms (fractional coordinates):
Bi: 0.0000 0.0000 0.0000  8 P 3.27
Te: 0.5000 0.5000 0.5000  2 O 2.00
P: 0.0000 0.5000 0.5000  2 Te 2.59
P: 0.5000 0.0000 0.5000  2 Te 2.59
O: 0.5000 0.5000 0.0000  2 Te 2.00

Entry two
BiTeP2O after structural relaxation. Source: Alexandria, functional PBE.

Unit cell a=5.3209 b=5.3209 c=4.1651 alpha=90.00 beta=90.00 gamma=90.00
With the nearest neighbours (Å) after each atom.
Atoms (fractional coordinates):
Bi: 0.0000 0.0000 0.0000  2 O 2.08
Te: 0.5000 0.5000 0.5000  8 P 3.38, 4 O 3.76
P: 0.0000 0.5000 0.0000  2 Bi 2.66
P: 0.5000 0.0000 0.0000  2 Bi 2.66
O: 0.0000 0.0000 0.5000  2 Bi 2.08

Energetically preferred structure: entry one | next structure: +317 meV per atom

Entry one
TiBiP2O after structural relaxation. Source: Alexandria, functional PBE.

Unit cell a=5.1671 b=5.1671 c=4.1137 alpha=90.00 beta=90.00 gamma=90.00
With the nearest neighbours (Å) after each atom.
Atoms (fractional coordinates):
Ti: 0.0000 0.0000 0.0000  8 P 3.30, 4 O 3.65
Bi: 0.5000 0.5000 0.5000  2 O 2.06
P: 0.0000 0.5000 0.5000  2 Bi 2.58
P: 0.5000 0.0000 0.5000  2 Bi 2.58
O: 0.5000 0.5000 0.0000  2 Bi 2.06

Entry two
TiBiP2O after structural relaxation. Source: Alexandria, functional PBE.

Unit cell a=5.0219 b=5.0219 c=3.7238 alpha=90.00 beta=90.00 gamma=90.00
With the nearest neighbours (Å) after each atom.
Atoms (fractional coordinates):
Ti: 0.0000 0.0000 0.0000  2 O 1.86
Bi: 0.5000 0.5000 0.5000  8 P 3.13
P: 0.0000 0.5000 0.0000  2 Ti 2.51
P: 0.5000 0.0000 0.0000  2 Ti 2.51
O: 0.0000 0.0000 0.5000  2 Ti 1.86

Energetically preferred structure: entry two | next structure: +1334 meV per atom